Entry 1:
# RbLaSeBr2

An optimized crystal structure of RbLaSeBr2 (PBE, Alexandria).

Structure (extended XYZ):
```
5
Lattice="5.764 0.000 0.000 0.000 5.764 0.000 0.000 0.000 6.006" Properties=species:S:1:pos:R:3 pbc="T T T"
La 2.882 2.882 3.003
Br 2.882 0.000 0.000
Br 0.000 2.882 0.000
Se 0.000 0.000 3.003
Rb 0.000 0.000 0.000
```

Results
N(E_F), states/eV per atom: 1.049
Spin magnetization, Bohr magnetons per cell: 0.25
Space-group type: No. 123
Excess energy over the best structure of this formula in the dataset, kJ per mole of atoms: 116.4
Total DFT energy (no corrections), eV/atom: -3.1167
Energy relative to the elements, uncorrected, meV per atom: -572

---

Entry 2:
# Rb2SrLaBr6

An optimized crystal structure of Rb2SrLaBr6 (PBE, Alexandria).

Structure (extended XYZ):
```
10
Lattice="8.486 0.000 0.000 0.000 8.486 0.000 4.243 4.243 6.001" Properties=species:S:1:pos:R:3 pbc="T T T"
Br 4.243 4.243 3.018
Br 6.377 2.109 0.000
Br 2.109 2.109 0.000
Br 6.377 6.377 0.000
Br 2.109 6.377 0.000
Br 8.486 8.486 2.983
Rb 8.486 4.243 3.000
Rb 4.243 8.486 3.000
La 0.000 0.000 0.000
Sr 4.243 4.243 0.000
```

Results
N(E_F), states/eV per atom: 1.629
Spin magnetization, Bohr magnetons per cell: 0.65
Space-group type: No. 225
Total DFT energy (no corrections), eV/atom: -3.6259
Energy relative to the elements, uncorrected, meV per atom: -1768

---

Entry 3:
# RbSrLaBr6

An optimized crystal structure of RbSrLaBr6 (PBE, Alexandria).

Structure (extended XYZ):
```
18
Lattice="-5.953 1.807 -4.899 1.716 -7.580 1.519 -9.245 0.171 11.297" Properties=species:S:1:pos:R:3 pbc="T T T"
Br -3.960 -3.564 -0.638
Br -8.191 -2.886 0.225
Br -6.344 -6.731 6.892
Br -10.018 -6.222 8.213
Br -4.982 -2.023 2.838
Br -6.970 -4.650 10.684
Br -3.465 0.620 -0.296
Br -5.292 -2.717 7.692
Br -9.522 -2.038 8.555
Br -7.138 1.129 1.025
Br -6.513 -0.953 -2.767
Br -8.500 -3.580 5.079
Sr -3.152 -4.408 2.204
Sr -10.331 -1.194 5.713
Rb 0.000 0.000 0.000
Rb -4.623 0.085 5.649
La -7.774 -4.323 7.853
La -5.708 -1.279 0.064
```

Results
N(E_F), states/eV per atom: 0.000
Spin magnetization, Bohr magnetons per cell: 0.00
Space-group type: No. 163
Total DFT energy (no corrections), eV/atom: -3.9583
Energy relative to the elements, uncorrected, meV per atom: -2001

---

Entry 4:
# Rb2LaTaBr6

An optimized crystal structure of Rb2LaTaBr6 (PBE, Alexandria).

Structure (extended XYZ):
```
10
Lattice="-1.341 -3.212 7.116 7.093 -3.520 -0.252 5.185 1.111 5.888" Properties=species:S:1:pos:R:3 pbc="T T T"
Br 4.090 -1.012 4.723
Br 5.093 -3.447 1.495
Br 6.846 -4.609 8.029
Br 0.658 -3.285 5.369
Br 1.364 -1.596 1.627
Br 4.388 -5.136 5.237
Rb 3.360 -2.734 8.218
Rb 7.577 -2.888 4.534
La 2.876 -3.366 3.432
Ta 0.000 0.000 0.000
```

Results
N(E_F), states/eV per atom: 0.368
Spin magnetization, Bohr magnetons per cell: 2.00
Space-group type: No. 225
Total DFT energy (no corrections), eV/atom: -4.0530
Energy relative to the elements, uncorrected, meV per atom: -1178

---

Entry 5:
# Rb2LaTcBr6

An optimized crystal structure of Rb2LaTcBr6 (PBE, Alexandria).

Structure (extended XYZ):
```
10
Lattice="7.793 0.000 0.000 0.000 7.793 0.000 3.896 3.896 5.510" Properties=species:S:1:pos:R:3 pbc="T T T"
Br 5.730 5.730 0.000
Br 2.063 2.063 0.000
Br 5.730 2.063 0.000
Br 7.793 7.793 2.917
Br 2.063 5.730 0.000
Br 3.896 3.896 2.593
Tc 3.896 3.896 0.000
Rb 3.896 7.793 2.755
Rb 7.793 3.896 2.755
La 0.000 0.000 0.000
```

Results
N(E_F), states/eV per atom: 0.000
Spin magnetization, Bohr magnetons per cell: 0.00
Space-group type: No. 225
Total DFT energy (no corrections), eV/atom: -3.9388
Energy relative to the elements, uncorrected, meV per atom: -1212

---

Entry 6:
# Rb2LaTeBr6

An optimized crystal structure of Rb2LaTeBr6 (PBE, Alexandria).

Structure (extended XYZ):
```
10
Lattice="9.151 0.000 0.000 0.000 9.151 0.000 4.576 4.576 5.679" Properties=species:S:1:pos:R:3 pbc="T T T"
Br 4.576 4.576 2.722
Br 2.052 7.099 0.000
Br 7.099 2.052 0.000
Br 9.151 9.151 2.957
Br 7.099 7.099 0.000
Br 2.052 2.052 0.000
Te 4.576 4.576 0.000
Rb 4.576 9.151 2.840
Rb 9.151 4.576 2.840
La 0.000 0.000 0.000
```

Results
N(E_F), states/eV per atom: 1.052
Spin magnetization, Bohr magnetons per cell: 1.00
Space-group type: No. 139
Total DFT energy (no corrections), eV/atom: -3.3227
Energy relative to the elements, uncorrected, meV per atom: -1319

---

Entry 7:
# Rb2LaTe2Br2

An optimized crystal structure of Rb2LaTe2Br2 (PBE, Alexandria).

Structure (extended XYZ):
```
7
Lattice="6.214 0.000 0.000 0.000 6.214 0.000 -3.107 -3.107 8.851" Properties=species:S:1:pos:R:3 pbc="T T T"
Rb 3.107 3.107 2.505
Rb 0.000 0.000 6.346
La 0.000 0.000 0.000
Te 0.000 3.107 0.000
Te 3.107 0.000 0.000
Br 0.000 0.000 2.977
Br 3.107 3.107 5.874
```

Results
N(E_F), states/eV per atom: 1.571
Spin magnetization, Bohr magnetons per cell: 0.00
Space-group type: No. 139
Total DFT energy (no corrections), eV/atom: -3.7296
Energy relative to the elements, uncorrected, meV per atom: -1374

---

Entry 8:
# Rb2LaTiBr6

An optimized crystal structure of Rb2LaTiBr6 (PBE, Alexandria).

Structure (extended XYZ):
```
10
Lattice="-6.083 4.848 1.801 -4.173 -6.243 2.713 -2.967 0.099 7.412" Properties=species:S:1:pos:R:3 pbc="T T T"
La 0.000 0.000 0.000
Br -9.131 -0.980 7.197
Br -2.669 -0.363 1.175
Br -4.092 -0.316 4.729
Br -4.670 -3.357 2.476
Br -5.586 1.962 2.038
Br -7.586 -1.032 3.339
Rb -6.134 -3.421 6.191
Rb -7.089 2.125 5.735
Ti -5.128 -0.697 2.257
```

Results
N(E_F), states/eV per atom: 0.000
Spin magnetization, Bohr magnetons per cell: 3.00
Space-group type: No. 225
Total DFT energy (no corrections), eV/atom: -3.9878
Energy relative to the elements, uncorrected, meV per atom: -1508

---

Entry 9:
# Rb2LaWBr6

An optimized crystal structure of Rb2LaWBr6 (PBE, Alexandria).

Structure (extended XYZ):
```
10
Lattice="7.826 0.000 0.000 0.000 7.826 0.000 3.913 3.913 5.532" Properties=species:S:1:pos:R:3 pbc="T T T"
Rb 7.826 3.913 2.766
Rb 3.913 7.826 2.766
Br 5.987 5.987 0.000
Br 1.839 1.839 0.000
Br 7.826 7.826 2.601
Br 1.839 5.987 0.000
Br 3.913 3.913 2.932
Br 5.987 1.839 0.000
W 0.000 0.000 0.000
La 3.913 3.913 0.000
```

Results
N(E_F), states/eV per atom: 0.492
Spin magnetization, Bohr magnetons per cell: 1.00
Space-group type: No. 225
Total DFT energy (no corrections), eV/atom: -4.0212
Energy relative to the elements, uncorrected, meV per atom: -1036

---

Entry 10:
# Rb2LaYBr6

An optimized crystal structure of Rb2LaYBr6 (PBE, Alexandria).

Structure (extended XYZ):
```
10
Lattice="-5.948 5.400 -1.545 0.717 -1.502 -8.010 -6.556 -2.266 -4.340" Properties=species:S:1:pos:R:3 pbc="T T T"
Br -0.988 0.264 -6.355
Br -4.539 -0.109 -4.564
Br -7.247 1.741 -9.331
Br -4.242 3.634 -3.199
Br -3.892 2.900 -7.110
Br -1.339 0.997 -2.445
Rb -4.227 -0.909 -8.563
Rb -7.559 2.542 -5.331
Y -2.615 1.949 -4.777
La 0.000 0.000 0.000
```

Results
N(E_F), states/eV per atom: 0.855
Spin magnetization, Bohr magnetons per cell: 0.01
Space-group type: No. 225
Total DFT energy (no corrections), eV/atom: -3.9468
Energy relative to the elements, uncorrected, meV per atom: -1610

---

Entry 11:
# RbLaZnBr6

An optimized crystal structure of RbLaZnBr6 (PBE, Alexandria).

Structure (extended XYZ):
```
18
Lattice="7.332 0.000 0.000 -3.666 6.350 0.000 0.000 0.000 15.217" Properties=species:S:1:pos:R:3 pbc="T T T"
Zn 0.000 4.233 11.413
Zn 3.666 2.117 3.804
Br -2.144 4.087 13.008
Br 2.721 0.187 2.209
Br 4.611 0.187 5.399
Br -1.198 2.450 9.818
Br 1.198 2.450 13.008
Br 4.864 3.900 5.399
Br -0.945 6.163 9.818
Br 5.810 2.263 2.209
Br 0.945 6.163 13.008
Br 2.144 4.087 9.818
Br 2.468 3.900 2.209
Br 1.522 2.263 5.399
La 0.000 4.233 3.804
La 3.666 2.117 11.413
Rb 0.000 0.000 7.608
Rb 0.000 0.000 0.000
```

Results
N(E_F), states/eV per atom: 0.000
Spin magnetization, Bohr magnetons per cell: 0.00
Space-group type: No. 163
Total DFT energy (no corrections), eV/atom: -3.4420
Energy relative to the elements, uncorrected, meV per atom: -1530

---

Entry 12:
# LaReBr3

An optimized crystal structure of LaReBr3 (PBE, Alexandria).

Structure (extended XYZ):
```
5
Lattice="5.056 0.000 0.000 0.000 5.056 0.000 0.000 0.000 5.056" Properties=species:S:1:pos:R:3 pbc="T T T"
Re 0.000 0.000 0.000
Br 2.528 0.000 0.000
Br 0.000 0.000 2.528
Br 0.000 2.528 0.000
La 2.528 2.528 2.528
```

Results
N(E_F), states/eV per atom: 0.936
Spin magnetization, Bohr magnetons per cell: 0.39
Space-group type: No. 221
Total DFT energy (no corrections), eV/atom: -4.3549
Energy relative to the elements, uncorrected, meV per atom: 124

---

Entry 13:
# LaRe2Br

An optimized crystal structure of LaRe2Br (PBE, Alexandria).

Structure (extended XYZ):
```
4
Lattice="0.000 3.396 3.396 3.396 0.000 3.396 3.396 3.396 0.000" Properties=species:S:1:pos:R:3 pbc="T T T"
Br 0.000 0.000 0.000
La 3.396 3.396 3.396
Re 1.698 1.698 1.698
Re 5.094 5.094 5.094
```

Results
N(E_F), states/eV per atom: 1.575
Spin magnetization, Bohr magnetons per cell: 0.00
Space-group type: No. 225
Excess energy over the best structure of this formula in the dataset, kJ per mole of atoms: 142.4
Total DFT energy (no corrections), eV/atom: -6.3460
Energy relative to the elements, uncorrected, meV per atom: 1528